a | Pm2ThBe | PBE | relaxed

**Space group**: P4/mmm, No. 123
**Crystal system**: tetragonal
**Total moment**: 0.00 μB per cell
**DOS(E_F)**: 6.675 states/eV/cell

abc: 3.538 3.538 8.644
angles: 90.00 90.00 90.00
Atoms (fractional coordinates):
Be: 0.500 0.500 0.000
Th: 0.500 0.500 0.500
Pm: 0.000 0.000 0.799
Pm: 0.000 0.000 0.201

---

b | Pm2ThBe | PBE | relaxed

**Space group**: R-3m, No. 166
**Crystal system**: trigonal
**Total moment**: 0.00 μB per cell
**DOS(E_F)**: 4.710 states/eV/cell

abc: 3.531 3.531 11.660
angles: 81.29 81.29 60.00
Atoms (fractional coordinates):
Be: 0.000 0.000 0.000
Th: 0.500 0.500 0.500
Pm: 0.085 0.085 0.746
Pm: 0.915 0.915 0.254

---

Ordering by calculated energy gives the sequence a, b, with the first entry being the most stable.

---

a | Pm2BeTl | PBE | relaxed

**Space group**: Fm-3m, No. 225
**Crystal system**: cubic
**Total moment**: 0.00 μB per cell
**DOS(E_F)**: 5.683 states/eV/cell

abc: 5.288 5.288 5.288
angles: 60.00 60.00 60.00
Atoms (fractional coordinates):
Be: 0.500 0.500 0.500
Tl: 0.000 0.000 0.000
Pm: 0.250 0.250 0.250
Pm: 0.750 0.750 0.750

---

b | Pm2BeTl | PBE | relaxed

**Space group**: R-3m, No. 166
**Crystal system**: trigonal
**Total moment**: 0.00 μB per cell
**DOS(E_F)**: 5.610 states/eV/cell

abc: 3.409 3.409 11.661
angles: 81.60 81.60 60.00
Atoms (fractional coordinates):
Be: 0.000 0.000 0.000
Tl: 0.500 0.500 0.500
Pm: 0.087 0.087 0.740
Pm: 0.913 0.913 0.260

---

Ordering by calculated energy gives the sequence a, b, with the first entry being the most stable.

---

a | Pm2TmBe | PBE | relaxed

**Space group**: P4/mmm, No. 123
**Crystal system**: tetragonal
**Total moment**: 0.00 μB per cell
**DOS(E_F)**: 4.445 states/eV/cell

abc: 3.554 3.554 8.528
angles: 90.00 90.00 90.00
Atoms (fractional coordinates):
Be: 0.500 0.500 0.000
Tm: 0.500 0.500 0.500
Pm: 0.000 0.000 0.801
Pm: 0.000 0.000 0.199

---

b | Pm2TmBe | PBE | relaxed

**Space group**: R-3m, No. 166
**Crystal system**: trigonal
**Total moment**: 0.00 μB per cell
**DOS(E_F)**: 4.135 states/eV/cell

abc: 3.451 3.451 11.726
angles: 81.54 81.54 60.00
Atoms (fractional coordinates):
Be: 0.000 0.000 0.000
Tm: 0.500 0.500 0.500
Pm: 0.085 0.085 0.746
Pm: 0.915 0.915 0.254

---

Ordering by calculated energy gives the sequence a, b, with the first entry being the most stable.

---

a | Pm2YBe | PBE | relaxed

**Space group**: R-3m, No. 166
**Crystal system**: trigonal
**Total moment**: 0.00 μB per cell
**DOS(E_F)**: 4.473 states/eV/cell

abc: 3.484 3.484 11.812
angles: 81.52 81.52 60.00
Atoms (fractional coordinates):
Y: 0.500 0.500 0.500
Be: 0.000 0.000 0.000
Pm: 0.084 0.084 0.747
Pm: 0.916 0.916 0.253

---

b | Pm2YBe | PBE | relaxed

**Space group**: P4/mmm, No. 123
**Crystal system**: tetragonal
**Total moment**: 0.00 μB per cell
**DOS(E_F)**: 4.578 states/eV/cell

abc: 3.575 3.575 8.622
angles: 90.00 90.00 90.00
Atoms (fractional coordinates):
Y: 0.500 0.500 0.500
Be: 0.500 0.500 0.000
Pm: 0.000 0.000 0.805
Pm: 0.000 0.000 0.195

---

Ordering by calculated energy gives the sequence b, a, with the first entry being the most stable.

---

a | Pm2BeZn | PBE | relaxed

**Space group**: R-3m, No. 166
**Crystal system**: trigonal
**Total moment**: 0.00 μB per cell
**DOS(E_F)**: 4.303 states/eV/cell

abc: 3.397 3.397 10.909
angles: 81.04 81.04 60.00
Atoms (fractional coordinates):
Be: 0.000 0.000 0.000
Zn: 0.500 0.500 0.500
Pm: 0.093 0.093 0.721
Pm: 0.907 0.907 0.279

---

b | Pm2BeZn | PBE | relaxed

**Space group**: Fm-3m, No. 225
**Crystal system**: cubic
**Total moment**: 0.00 μB per cell
**DOS(E_F)**: 4.038 states/eV/cell

abc: 5.065 5.065 5.065
angles: 60.00 60.00 60.00
Atoms (fractional coordinates):
Be: 0.000 0.000 0.000
Zn: 0.500 0.500 0.500
Pm: 0.250 0.250 0.250
Pm: 0.750 0.750 0.750

---

Ordering by calculated energy gives the sequence b, a, with the first entry being the most stable.

---

a | PrBeRh | PBE | relaxed

**Space group**: P2_13, No. 198
**Crystal system**: cubic
**Total moment**: 0.00 μB per cell
**DOS(E_F)**: 6.312 states/eV/cell

abc: 6.165 6.165 6.165
angles: 90.00 90.00 90.00
Atoms (fractional coordinates):
Rh: 0.324 0.676 0.176
Rh: 0.176 0.324 0.676
Rh: 0.676 0.176 0.324
Rh: 0.824 0.824 0.824
Be: 0.404 0.404 0.404
Be: 0.096 0.596 0.904
Be: 0.904 0.096 0.596
Be: 0.596 0.904 0.096
Pr: 0.103 0.103 0.103
Pr: 0.603 0.397 0.897
Pr: 0.397 0.897 0.603
Pr: 0.897 0.603 0.397

---

b | PrBeRh | PBE | relaxed

**Space group**: P6_3/mmc, No. 194
**Crystal system**: hexagonal
**Total moment**: 0.00 μB per cell
**DOS(E_F)**: 3.839 states/eV/cell

abc: 3.994 3.994 8.391
angles: 90.00 90.00 120.01
Atoms (fractional coordinates):
Pr: 0.000 0.500 0.500
Pr: 0.000 0.500 0.000
Be: 0.333 0.167 0.750
Be: 0.667 0.833 0.250
Rh: 0.667 0.833 0.750
Rh: 0.333 0.167 0.250

---

Ordering by calculated energy gives the sequence b, a, with the first entry being the most stable.